The following is a PBE+U calculation of a geometry-optimized TiVPbO6 structure, from the Alexandria database.

V = 12.458 Å³ per atom
M_tot = 0.00 Bohr magnetons per cell
calculated total energy = -133.0 eV per cell

Cell: 5.129 5.129 9.844 Å, 90.00 90.00 120.00°
Fractional coordinates of all 18 atoms:
1 Ti 0.667 0.333 0.250
2 V 0.333 0.667 0.250
3 O 0.009 0.630 0.358
4 O 0.630 0.009 0.858
5 O 0.991 0.370 0.642
6 O 0.621 0.630 0.142
7 V 0.667 0.333 0.750
8 Ti 0.333 0.667 0.750
9 O 0.009 0.379 0.142
10 O 0.991 0.621 0.858
11 Pb 0.000 0.000 0.500
12 O 0.370 0.991 0.142
13 Pb 0.000 0.000 0.000
14 O 0.621 0.991 0.358
15 O 0.379 0.009 0.642
16 O 0.370 0.379 0.358
17 O 0.630 0.621 0.642
18 O 0.379 0.370 0.858